[1]
VASP calculation (GGA-PBE) on a relaxed structure of MgScTlGa.

Summary:
- ΔE_f: -0.286 eV per atom
- Crystal system: orthorhombic
- Distance to the lowest polymorph of the same formula: 0.000 eV per formula unit

a b c (Å): 4.221 4.383 4.504
angles (deg): 90.00 90.00 90.00
Space group Pmmm (No. 47)
Symmetry-distinct sites (fractional):
Mg 0.000 0.000 0.000 [1 per cell]
Sc 0.000 0.500 0.500 [1 per cell]
Tl 0.500 0.500 0.000 [1 per cell]
Ga 0.500 0.000 0.500 [1 per cell]

[2]
VASP calculation (GGA-PBE) on a relaxed structure of MgScTlGa.

Summary:
- ΔE_f: -0.197 eV per atom
- Crystal system: cubic
- Distance to the lowest polymorph of the same formula: 0.358 eV per formula unit

a b c (Å): 7.002 7.002 7.002
angles (deg): 90.00 90.00 90.00
Space group F-43m (No. 216)
Symmetry-distinct sites (fractional):
Mg 0.000 0.000 0.000 [4 per cell]
Sc 0.000 0.000 0.500 [4 per cell]
Tl 0.250 0.250 0.750 [4 per cell]
Ga 0.250 0.250 0.250 [4 per cell]

[3]
VASP calculation (GGA-PBE) on a relaxed structure of TmMgSc2Ga4.

Summary:
- ΔE_f: -0.477 eV per atom
- Crystal system: trigonal

a b c (Å): 4.7707 4.7707 24.0431
angles (deg): 90.00 90.00 120.00
Space group R-3m (No. 166, hexagonal axes)
Symmetry-distinct sites (fractional):
Tm 0.0000 0.0000 0.0000 [3 per cell]
Mg 0.0000 0.0000 0.5000 [3 per cell]
Sc 0.0000 0.0000 0.2439 [6 per cell]
Ga 0.0000 0.0000 0.1245 [6 per cell]
Ga 0.0000 0.0000 0.3768 [6 per cell]

[4]
VASP calculation (GGA-PBE) on a relaxed structure of TmMgScGa.

Summary:
- ΔE_f: -0.325 eV per atom
- Crystal system: cubic

a b c (Å): 7.046 7.046 7.046
angles (deg): 90.00 90.00 90.00
Space group F-43m (No. 216)
Symmetry-distinct sites (fractional):
Tm 0.000 0.000 0.000 [4 per cell]
Mg 0.250 0.250 0.250 [4 per cell]
Sc 0.000 0.000 0.500 [4 per cell]
Ga 0.250 0.250 0.750 [4 per cell]

Number 1: calculated volume 20.8 Å³/atom. Number 2: calculated volume 21.5 Å³/atom. Number 3: calculated volume 19.7 Å³/atom. Number 4: calculated volume 21.9 Å³/atom.